Entry 1:
Here is a relaxed structure of BaFeCl from the Alexandria database. Energies are from PBEsol.

Summary:
DFT total energy ... -4.391 eV/atom
Energy relative to the elements, uncorrected ... -0.018 eV per atom
DOS(E_F) ... 1.650 states/eV/atom

a = 4.723 Å, b = 4.723 Å, c = 3.824 Å
α = 90.00°, β = 90.00°, γ = 120.00°
Positions (direct):
Ba (0.000, 0.000, 0.000)
Fe (0.667, 0.333, 0.512)
Cl (0.333, 0.667, 0.482)



Entry 2:
Here is a relaxed structure of SrNb3Sn from the Alexandria database. Energies are from PBEsol.

Summary:
DFT total energy ... -6.300 eV/atom
DOS(E_F) ... 1.651 states/eV/atom

a = 5.153 Å, b = 5.153 Å, c = 5.153 Å
α = 90.00°, β = 90.00°, γ = 90.00°
Positions (direct):
Sr (0.000, 0.000, 0.000)
Nb (0.000, 0.500, 0.500)
Nb (0.500, 0.000, 0.500)
Nb (0.500, 0.500, 0.000)
Sn (0.500, 0.500, 0.500)



Entry 3:
Here is a relaxed structure of Zn2OsRu from the Alexandria database. Energies are from PBEsol.

Summary:
DFT total energy ... -6.232 eV/atom
DOS(E_F) ... 0.842 states/eV/atom

a = 4.568 Å, b = 4.568 Å, c = 4.587 Å
α = 98.03°, β = 98.03°, γ = 34.96°
Positions (direct):
Zn (0.000, 0.000, 0.000)
Zn (0.245, 0.245, 0.785)
Os (0.752, 0.752, 0.290)
Ru (0.493, 0.493, 0.495)



Entry 4:
Here is a relaxed structure of Tl2RhF from the Alexandria database. Energies are from PBEsol.

Summary:
DFT total energy ... -4.182 eV/atom
Energy relative to the elements, uncorrected ... -0.351 eV per atom
DOS(E_F) ... 0.551 states/eV/atom

a = 4.639 Å, b = 4.639 Å, c = 4.639 Å
α = 60.00°, β = 60.00°, γ = 60.00°
Positions (direct):
Tl (0.250, 0.250, 0.250)
Tl (0.750, 0.750, 0.750)
Rh (0.000, 0.000, 0.000)
F (0.500, 0.500, 0.500)



Entry 5:
Here is a relaxed structure of Cs2Au2Cl from the Alexandria database. Energies are from PBEsol.

Summary:
DFT total energy ... -3.195 eV/atom
Energy relative to the elements, uncorrected ... -0.847 eV per atom
DOS(E_F) ... 0.158 states/eV/atom

a = 10.317 Å, b = 10.317 Å, c = 10.317 Å
α = 158.23°, β = 158.23°, γ = 30.98°
Positions (direct):
Cs (0.103, 0.103, 0.000)
Cs (0.897, 0.897, 0.000)
Au (0.250, 0.750, 0.500)
Au (0.750, 0.250, 0.500)
Cl (0.500, 0.500, 0.000)



Entry 6:
Here is a relaxed structure of Y2NiPt from the Alexandria database. Energies are from PBEsol.

Summary:
DFT total energy ... -7.458 eV/atom
DOS(E_F) ... 0.561 states/eV/atom

a = 4.784 Å, b = 4.784 Å, c = 3.424 Å
α = 90.00°, β = 90.00°, γ = 90.00°
Positions (direct):
Y (0.000, 0.500, 0.000)
Y (0.500, 0.000, 0.000)
Ni (0.000, 0.000, 0.500)
Pt (0.500, 0.500, 0.500)



Entry 7:
Here is a relaxed structure of GaFePS2 from the Alexandria database. Energies are from PBEsol.

Summary:
DFT total energy ... -4.438 eV/atom
Energy relative to the elements, uncorrected ... 0.934 eV per atom
DOS(E_F) ... 1.107 states/eV/atom

a = 4.610 Å, b = 4.610 Å, c = 4.563 Å
α = 90.00°, β = 90.00°, γ = 90.00°
Positions (direct):
Ga (0.000, 0.000, 0.000)
Fe (0.500, 0.500, 0.500)
P (0.000, 0.000, 0.500)
S (0.000, 0.500, 0.000)
S (0.500, 0.000, 0.000)



Entry 8:
Here is a relaxed structure of HfGaRh from the Alexandria database. Energies are from PBEsol.

Summary:
DFT total energy ... -8.174 eV/atom
DOS(E_F) ... 0.705 states/eV/atom

a = 7.225 Å, b = 7.225 Å, c = 3.207 Å
α = 90.00°, β = 90.00°, γ = 120.00°
Positions (direct):
Hf (0.000, 0.611, 0.000)
Hf (0.389, 0.389, 0.000)
Hf (0.611, 0.000, 0.000)
Ga (0.000, 0.277, 0.500)
Ga (0.277, 0.000, 0.500)
Ga (0.723, 0.723, 0.500)
Rh (0.000, 0.000, 0.000)
Rh (0.333, 0.667, 0.500)
Rh (0.667, 0.333, 0.500)



Entry 9:
Here is a relaxed structure of CsHfPCl2 from the Alexandria database. Energies are from PBEsol.

Summary:
DFT total energy ... -3.173 eV/atom
Energy relative to the elements, uncorrected ... 1.077 eV per atom
DOS(E_F) ... 0.819 states/eV/atom

a = 5.711 Å, b = 5.711 Å, c = 5.447 Å
α = 90.00°, β = 90.00°, γ = 90.00°
Positions (direct):
Cs (0.000, 0.000, 0.000)
Hf (0.500, 0.500, 0.500)
P (0.000, 0.000, 0.500)
Cl (0.000, 0.500, 0.000)
Cl (0.500, 0.000, 0.000)



Entry 10:
Here is a relaxed structure of Ba2Pt from the Alexandria database. Energies are from PBEsol.

Summary:
DFT total energy ... -4.256 eV/atom
DOS(E_F) ... 0.348 states/eV/atom

a = 7.740 Å, b = 7.740 Å, c = 7.740 Å
α = 90.00°, β = 90.00°, γ = 90.00°
Positions (direct):
Ba (0.168, 0.168, 0.168)
Ba (0.168, 0.332, 0.668)
Ba (0.332, 0.668, 0.168)
Ba (0.332, 0.832, 0.668)
Ba (0.668, 0.168, 0.332)
Ba (0.668, 0.332, 0.832)
Ba (0.832, 0.668, 0.332)
Ba (0.832, 0.832, 0.832)
Pt (0.000, 0.000, 0.500)
Pt (0.000, 0.500, 0.000)
Pt (0.500, 0.000, 0.000)
Pt (0.500, 0.500, 0.500)



Entry 11:
Here is a relaxed structure of Al2GeIrC from the Alexandria database. Energies are from PBEsol.

Summary:
DFT total energy ... -4.458 eV/atom
DOS(E_F) ... 0.558 states/eV/atom

a = 4.676 Å, b = 4.676 Å, c = 4.496 Å
α = 90.00°, β = 90.00°, γ = 90.00°
Positions (direct):
Al (0.000, 0.500, 0.000)
Al (0.500, 0.000, 0.000)
Ge (0.000, 0.000, 0.000)
Ir (0.000, 0.000, 0.500)
C (0.500, 0.500, 0.500)



Entry 12:
Here is a relaxed structure of Nb2Se3 from the Alexandria database. Energies are from PBEsol.

Summary:
DFT total energy ... -7.538 eV/atom
Energy relative to the elements, uncorrected ... -0.899 eV per atom
DOS(E_F) ... 0.419 states/eV/atom

a = 6.524 Å, b = 3.380 Å, c = 9.131 Å
α = 90.00°, β = 103.60°, γ = 90.00°
Positions (direct):
Nb (0.113, 0.250, 0.136)
Nb (0.314, 0.250, 0.502)
Nb (0.686, 0.750, 0.498)
Nb (0.887, 0.750, 0.864)
Se (0.021, 0.750, 0.343)
Se (0.276, 0.750, 0.984)
Se (0.480, 0.750, 0.706)
Se (0.520, 0.250, 0.294)
Se (0.724, 0.250, 0.016)
Se (0.979, 0.250, 0.657)



Entry 13:
Here is a relaxed structure of LiRhSe2 from the Alexandria database. Energies are from PBEsol.

Summary:
DFT total energy ... -4.903 eV/atom
Energy relative to the elements, uncorrected ... -0.452 eV per atom
DOS(E_F) ... 0.308 states/eV/atom

a = 4.602 Å, b = 3.614 Å, c = 4.671 Å
α = 90.00°, β = 105.51°, γ = 90.00°
Positions (direct):
Li (0.000, 0.000, 0.000)
Rh (0.500, 0.000, 0.500)
Se (0.312, 0.500, 0.741)
Se (0.688, 0.500, 0.259)



Entry 14:
Here is a relaxed structure of Sr3NbAl from the Alexandria database. Energies are from PBEsol.

Summary:
DFT total energy ... -3.064 eV/atom
DOS(E_F) ... 0.791 states/eV/atom

a = 5.698 Å, b = 5.698 Å, c = 5.698 Å
α = 90.00°, β = 90.00°, γ = 90.00°
Positions (direct):
Sr (0.000, 0.000, 0.500)
Sr (0.000, 0.500, 0.000)
Sr (0.500, 0.000, 0.000)
Nb (0.000, 0.000, 0.000)
Al (0.500, 0.500, 0.500)



Entry 15:
Here is a relaxed structure of Sc6NiTe2 from the Alexandria database. Energies are from PBEsol.

Summary:
DFT total energy ... -6.602 eV/atom
Energy relative to the elements, uncorrected ... -0.731 eV per atom
DOS(E_F) ... 1.448 states/eV/atom

a = 7.683 Å, b = 7.683 Å, c = 3.683 Å
α = 90.00°, β = 90.00°, γ = 120.00°
Positions (direct):
Sc (0.000, 0.393, 0.000)
Sc (0.000, 0.761, 0.500)
Sc (0.239, 0.239, 0.500)
Sc (0.393, 0.000, 0.000)
Sc (0.607, 0.607, 0.000)
Sc (0.761, 0.000, 0.500)
Ni (0.000, 0.000, 0.000)
Te (0.333, 0.667, 0.500)
Te (0.667, 0.333, 0.500)



Entry 16:
Here is a relaxed structure of CaLaHg from the Alexandria database. Energies are from PBEsol.

Summary:
DFT total energy ... -3.049 eV/atom
DOS(E_F) ... 0.826 states/eV/atom

a = 7.323 Å, b = 7.323 Å, c = 7.323 Å
α = 150.97°, β = 150.97°, γ = 41.53°
Positions (direct):
Ca (0.000, 0.000, 0.000)
La (0.280, 0.280, 0.000)
Hg (0.634, 0.634, 0.000)



Entry 17:
Here is a relaxed structure of Au3CSe from the Alexandria database. Energies are from PBEsol.

Summary:
DFT total energy ... -3.094 eV/atom
Energy relative to the elements, uncorrected ... 1.959 eV per atom
DOS(E_F) ... 0.840 states/eV/atom

a = 4.874 Å, b = 4.874 Å, c = 4.874 Å
α = 90.00°, β = 90.00°, γ = 90.00°
Positions (direct):
Au (0.000, 0.000, 0.500)
Au (0.000, 0.500, 0.000)
Au (0.500, 0.000, 0.000)
C (0.500, 0.500, 0.500)
Se (0.000, 0.000, 0.000)



Entry 18:
Here is a relaxed structure of LiCd2In from the Alexandria database. Energies are from PBEsol.

Summary:
DFT total energy ... -1.952 eV/atom
DOS(E_F) ... 0.355 states/eV/atom

a = 5.951 Å, b = 5.951 Å, c = 3.098 Å
α = 104.34°, β = 104.34°, γ = 119.16°
Positions (direct):
Li (0.000, 0.000, 0.000)
Cd (0.000, 0.500, 0.000)
Cd (0.500, 0.000, 0.000)
In (0.500, 0.500, 0.000)



Entry 19:
Here is a relaxed structure of Cs2TlGaF6 from the Alexandria database. Energies are from PBEsol.

Summary:
DFT total energy ... -4.555 eV/atom
Energy relative to the elements, uncorrected ... -2.613 eV per atom
DOS(E_F) ... 0.000 states/eV/atom

a = 6.442 Å, b = 6.442 Å, c = 6.442 Å
α = 60.00°, β = 60.00°, γ = 60.00°
Positions (direct):
Cs (0.250, 0.250, 0.250)
Cs (0.750, 0.750, 0.750)
Tl (0.000, 0.000, 0.000)
Ga (0.500, 0.500, 0.500)
F (0.290, 0.290, 0.710)
F (0.290, 0.710, 0.290)
F (0.290, 0.710, 0.710)
F (0.710, 0.290, 0.290)
F (0.710, 0.290, 0.710)
F (0.710, 0.710, 0.290)



Entry 20:
Here is a relaxed structure of SrCdP from the Alexandria database. Energies are from PBEsol.

Summary:
DFT total energy ... -3.003 eV/atom
DOS(E_F) ... 0.508 states/eV/atom

a = 4.948 Å, b = 4.948 Å, c = 4.948 Å
α = 60.00°, β = 60.00°, γ = 60.00°
Positions (direct):
Sr (0.000, 0.000, 0.000)
Cd (0.750, 0.750, 0.750)
P (0.250, 0.250, 0.250)



no.,total magnetic moment (Bohr magnetons per cell)
1,2.928
2,0.003
3,0.000
4,0.000
5,0.000
6,0.000
7,3.487
8,0.000
9,1.063
10,0.000
11,0.767
12,0.000
13,0.000
14,0.000
15,0.004
16,0.000
17,2.120
18,0.000
19,0.000
20,0.000